No. 1
# Ni2OsS4 (GGA-PBE, relaxed)
data_Ni2OsS4
_cell_length_a 6.7905
_cell_length_b 6.8218
_cell_length_c 9.5956
_cell_angle_alpha 90.00
_cell_angle_beta 90.00
_cell_angle_gamma 90.00
_symmetry_space_group_name_H-M 'I m m a'
_symmetry_Int_Tables_number 74
_symmetry_space_group_name_Hall '-I 2b 2'
loop_
_atom_site_label
_atom_site_fract_x
_atom_site_fract_y
_atom_site_fract_z
Ni1 0.0000 0.0000 0.0000
Ni2 0.0000 0.2500 0.3743
Os1 0.2500 0.2500 0.7500
S1 0.0000 0.0110 0.7568
S2 0.2344 0.2500 0.9963
# Electronic total energy = -5.897 eV/atom
# D(E_F) = 5.21 states/eV/f.u.
# Energy above the most stable polymorph in this dataset = 0 meV per atom



No. 2
# PaZn4Cu2 (GGA-PBE, relaxed)
data_PaZn4Cu2
_cell_length_a 4.0186
_cell_length_b 14.2223
_cell_length_c 4.0002
_cell_angle_alpha 90.00
_cell_angle_beta 90.00
_cell_angle_gamma 90.00
_symmetry_space_group_name_H-M 'C m m m'
_symmetry_Int_Tables_number 65
_symmetry_space_group_name_Hall '-C 2 2'
loop_
_atom_site_label
_atom_site_fract_x
_atom_site_fract_y
_atom_site_fract_z
Pa1 0.0000 0.0000 0.0000
Zn1 0.0000 0.1836 0.5000
Zn2 0.0000 0.3144 0.0000
Cu1 0.0000 0.4174 0.5000
# Electronic total energy = -3.308 eV/atom
# D(E_F) = 4.80 states/eV/f.u.



No. 3
# Ca3Cd7Au2 (GGA-PBE, relaxed)
data_Ca3Cd7Au2
_cell_length_a 5.9442
_cell_length_b 5.9442
_cell_length_c 28.6355
_cell_angle_alpha 90.00
_cell_angle_beta 90.00
_cell_angle_gamma 120.00
_symmetry_space_group_name_H-M 'R -3 m'
_symmetry_Int_Tables_number 166
_symmetry_space_group_name_Hall '-R 3 2"'
loop_
_atom_site_label
_atom_site_fract_x
_atom_site_fract_y
_atom_site_fract_z
Ca1 0.0000 0.0000 0.0000
Ca2 0.0000 0.0000 0.1442
Cd1 0.0000 0.0000 0.5000
Cd2 0.0054 0.5027 0.9179
Au1 0.0000 0.0000 0.3346
# Electronic total energy = -1.913 eV/atom
# D(E_F) = 7.18 states/eV/f.u.



No. 4
# Zr3Br (GGA-PBE, relaxed)
data_Zr3Br
_cell_length_a 6.3074
_cell_length_b 6.3074
_cell_length_c 10.3206
_cell_angle_alpha 90.00
_cell_angle_beta 90.00
_cell_angle_gamma 120.00
_symmetry_space_group_name_H-M 'P 63/m m c'
_symmetry_Int_Tables_number 194
_symmetry_space_group_name_Hall '-P 6c 2c'
loop_
_atom_site_label
_atom_site_fract_x
_atom_site_fract_y
_atom_site_fract_z
Zr1 0.0000 0.5000 0.0000
Zr2 0.1696 0.3392 0.2500
Br1 0.0000 0.0000 0.0000
Br2 0.3333 0.6667 0.7500
# Electronic total energy = -6.601 eV/atom
# D(E_F) = 5.54 states/eV/f.u.
# Energy above the most stable polymorph in this dataset = 480 meV per atom



No. 5
# VGeN2 (GGA-PBE, relaxed)
data_VGeN2
_cell_length_a 2.8811
_cell_length_b 2.8811
_cell_length_c 18.4467
_cell_angle_alpha 90.00
_cell_angle_beta 90.00
_cell_angle_gamma 120.00
_symmetry_space_group_name_H-M 'R -3 m'
_symmetry_Int_Tables_number 166
_symmetry_space_group_name_Hall '-R 3 2"'
loop_
_atom_site_label
_atom_site_fract_x
_atom_site_fract_y
_atom_site_fract_z
V1 0.0000 0.0000 0.0000
Ge1 0.0000 0.0000 0.5000
N1 0.0000 0.0000 0.2738
# Electronic total energy = -7.628 eV/atom
# D(E_F) = 1.27 states/eV/f.u.



No. 6
# Ho8AuC4 (GGA-PBE, relaxed)
data_Ho8AuC4
_cell_length_a 17.3479
_cell_length_b 3.6306
_cell_length_c 12.2660
_cell_angle_alpha 90.00
_cell_angle_beta 135.00
_cell_angle_gamma 90.00
_symmetry_space_group_name_H-M 'C 1 m 1'
_symmetry_Int_Tables_number 8
_symmetry_space_group_name_Hall 'C -2y'
loop_
_atom_site_label
_atom_site_fract_x
_atom_site_fract_y
_atom_site_fract_z
Ho1 0.0000 0.0000 0.0000
Ho2 0.0141 0.0000 0.7408
Ho3 0.0356 0.0000 0.3612
Ho4 0.1745 0.5000 0.7100
Ho5 0.1959 0.5000 0.3304
Ho6 0.2100 0.5000 0.0712
Ho7 0.3089 0.0000 0.6486
Ho8 0.4012 0.0000 0.4227
Au1 0.3551 0.0000 0.0353
C1 0.0095 0.5000 0.8682
C2 0.0332 0.0000 0.5593
C3 0.1768 0.5000 0.5118
C4 0.2006 0.0000 0.2030
# Electronic total energy = -6.218 eV/atom
# D(E_F) = 7.07 states/eV/f.u.



No. 7
# KVBiMo2 (GGA-PBE, relaxed)
data_KVBiMo2
_cell_length_a 4.6066
_cell_length_b 4.6066
_cell_length_c 5.5544
_cell_angle_alpha 90.00
_cell_angle_beta 90.00
_cell_angle_gamma 90.00
_symmetry_space_group_name_H-M 'P 4/m m m'
_symmetry_Int_Tables_number 123
_symmetry_space_group_name_Hall '-P 4 2'
loop_
_atom_site_label
_atom_site_fract_x
_atom_site_fract_y
_atom_site_fract_z
K1 0.0000 0.0000 0.0000
V1 0.0000 0.0000 0.5000
Bi1 0.5000 0.5000 0.0000
Mo1 0.0000 0.5000 0.5000
# Electronic total energy = -5.700 eV/atom
# D(E_F) = 7.40 states/eV/f.u.



No. 8
# AlP2O6F (GGA-PBE, relaxed)
data_AlP2O6F
_cell_length_a 11.0328
_cell_length_b 11.9912
_cell_length_c 4.1781
_cell_angle_alpha 90.00
_cell_angle_beta 111.65
_cell_angle_gamma 90.00
_symmetry_space_group_name_H-M 'C 1 2/c 1'
_symmetry_Int_Tables_number 15
_symmetry_space_group_name_Hall '-C 2yc'
loop_
_atom_site_label
_atom_site_fract_x
_atom_site_fract_y
_atom_site_fract_z
Al1 0.0000 0.2389 0.2500
P1 0.2424 0.4181 0.5696
O1 0.1252 0.1275 0.3684
O2 0.1268 0.3489 0.3749
O3 0.2303 0.4568 0.9203
F1 0.0000 0.2396 0.7500
# Electronic total energy = -7.050 eV/atom
# D(E_F) = 0.00 states/eV/f.u.



No. 9
# Tb2Dy3Hg2 (GGA-PBE, relaxed)
data_Tb2Dy3Hg2
_cell_length_a 3.5766
_cell_length_b 31.8947
_cell_length_c 3.5661
_cell_angle_alpha 90.00
_cell_angle_beta 90.00
_cell_angle_gamma 90.00
_symmetry_space_group_name_H-M 'C m m m'
_symmetry_Int_Tables_number 65
_symmetry_space_group_name_Hall '-C 2 2'
loop_
_atom_site_label
_atom_site_fract_x
_atom_site_fract_y
_atom_site_fract_z
Tb1 0.0000 0.2032 0.0000
Dy1 0.0000 0.3748 0.5000
Dy2 0.0000 0.5000 0.5000
Hg1 0.0000 0.0620 0.0000
# Electronic total energy = -3.569 eV/atom
# D(E_F) = 10.06 states/eV/f.u.
# Energy above the most stable polymorph in this dataset = 55 meV per atom



No. 10
# CuTe3Pb (GGA-PBE, relaxed)
data_CuTe3Pb
_cell_length_a 5.8217
_cell_length_b 5.8217
_cell_length_c 5.8217
_cell_angle_alpha 90.00
_cell_angle_beta 90.00
_cell_angle_gamma 90.00
_symmetry_space_group_name_H-M 'P m -3 m'
_symmetry_Int_Tables_number 221
_symmetry_space_group_name_Hall '-P 4 2 3'
loop_
_atom_site_label
_atom_site_fract_x
_atom_site_fract_y
_atom_site_fract_z
Cu1 0.0000 0.0000 0.0000
Te1 0.0000 0.5000 0.5000
Pb1 0.5000 0.5000 0.5000
# Electronic total energy = -2.491 eV/atom
# D(E_F) = 6.00 states/eV/f.u.
# Energy above the most stable polymorph in this dataset = 820 meV per atom



No. 11
# YMgCl3 (GGA-PBE, relaxed)
data_YMgCl3
_cell_length_a 5.3615
_cell_length_b 5.3615
_cell_length_c 5.3615
_cell_angle_alpha 90.00
_cell_angle_beta 90.00
_cell_angle_gamma 90.00
_symmetry_space_group_name_H-M 'P m -3 m'
_symmetry_Int_Tables_number 221
_symmetry_space_group_name_Hall '-P 4 2 3'
loop_
_atom_site_label
_atom_site_fract_x
_atom_site_fract_y
_atom_site_fract_z
Y1 0.0000 0.0000 0.0000
Mg1 0.5000 0.5000 0.5000
Cl1 0.0000 0.0000 0.5000
# Electronic total energy = -4.154 eV/atom
# D(E_F) = 2.30 states/eV/f.u.
# Energy above the most stable polymorph in this dataset = 0 meV per atom



No. 12
# La3Tb5Sm (GGA-PBE, relaxed)
data_La3Tb5Sm
_cell_length_a 9.9466
_cell_length_b 9.9466
_cell_length_c 7.1469
_cell_angle_alpha 90.00
_cell_angle_beta 90.00
_cell_angle_gamma 120.00
_symmetry_space_group_name_H-M 'P 63/m c m'
_symmetry_Int_Tables_number 193
_symmetry_space_group_name_Hall '-P 6c 2'
loop_
_atom_site_label
_atom_site_fract_x
_atom_site_fract_y
_atom_site_fract_z
La1 0.0000 0.3539 0.2500
Tb1 0.0000 0.3156 0.7500
Tb2 0.3333 0.6667 0.0000
Sm1 0.0000 0.0000 0.0000
# Electronic total energy = -4.671 eV/atom
# D(E_F) = 14.39 states/eV/f.u.